Material: Sm6Ni2PBr3
Method: DFT, PBE
State: optimized geometry

Lattice parameters (Å, degrees): 7.1027 12.2663 7.7657 90.00 107.73 90.00
Space group C2/m (No. 12)
Unique sites:
1 Sm 0.2198 0.0000 0.1964 [4 per cell]
2 Sm 0.2394 0.3273 0.1974 [8 per cell]
3 Ni 0.0000 0.1673 0.0000 [4 per cell]
4 P 0.0000 0.5000 0.0000 [2 per cell]
5 Br 0.0000 0.0000 0.5000 [2 per cell]
6 Br 0.0000 0.3394 0.5000 [4 per cell]

Computed properties:
total DFT energy (no corrections)	-62.28	eV/f.u.
theoretical density	6.65	g cm⁻³

=====

Material: Sm4NiPBr2
Method: DFT, PBE
State: optimized geometry

Lattice parameters (Å, degrees): 7.3207 3.9852 7.6286 90.00 106.98 90.00
Space group P2/m (No. 10)
Unique sites:
1 Sm 0.2163 0.0000 0.1962 [2 per cell]
2 Sm 0.2647 0.5000 0.7946 [2 per cell]
3 Ni 0.0000 0.5000 0.0000 [1 per cell]
4 P 0.5000 0.0000 0.0000 [1 per cell]
5 Br 0.0000 0.0000 0.5000 [1 per cell]
6 Br 0.5000 0.5000 0.5000 [1 per cell]

Computed properties:
total DFT energy (no corrections)	-42.31	eV/f.u.
theoretical density	6.64	g cm⁻³

=====

Material: TaNi2PBr
Method: DFT, PBE
State: optimized geometry

Lattice parameters (Å, degrees): 4.2280 4.2280 4.9699 90.00 90.00 90.00
Space group P4/mmm (No. 123)
Unique sites:
1 Ta 0.0000 0.0000 0.0000 [1 per cell]
2 Ni 0.0000 0.5000 0.5000 [2 per cell]
3 P 0.5000 0.5000 0.0000 [1 per cell]
4 Br 0.0000 0.0000 0.5000 [1 per cell]

Computed properties:
total DFT energy (no corrections)	-24.61	eV/f.u.
theoretical density	7.65	g cm⁻³

=====

The lowest theoretical density belongs to which entry?
Sm4NiPBr2

=====

Number 1 is which compound?
Sm6Ni2PBr3

=====

Among the records above, which one has the highest total DFT energy (no corrections)?
TaNi2PBr

=====

Look up the total DFT energy (no corrections) of the first one.
-62.28 eV/f.u.